Here is a relaxed Li5Ca5Au2 crystal from the Alexandria database. Energies are from PBE.

Values from the calculation:
As for the crystal system: monoclinic. The value obtained for the electronic total energy is -29.4 eV/cell.

Lattice parameters (Å, degrees): 4.530 8.551 9.101 82.58 75.59 74.64
Atoms (fractional coordinates):
Au 0.151 0.450 0.248
Au 0.849 0.550 0.752
Li 0.000 0.000 0.000
Li 0.755 0.294 0.196
Li 0.952 0.761 0.335
Li 0.048 0.239 0.665
Li 0.245 0.706 0.804
Ca 0.373 0.331 0.922
Ca 0.698 0.932 0.672
Ca 0.500 0.500 0.500
Ca 0.627 0.669 0.078
Ca 0.302 0.068 0.328